No. 1
## CeAl11Os (PBE)

Data for a relaxed CeAl11Os crystal.

Summary:
DFT formation energy: -24.6 kJ/mol of atoms

Unit cell a=5.2467 b=7.1427 c=6.8659 alpha=82.02 beta=67.54 gamma=68.69
Last column: magnetic moment on the atom in μB.
Atoms (fractional coordinates):
Ce 0.0000 0.0000 0.0000  0.32
Al 0.2848 0.2230 0.2151  0.00
Al 0.7152 0.7770 0.7849  0.00
Al 0.5001 0.7770 0.2151  0.00
Al 0.4999 0.2230 0.7849  0.00
Al 0.3637 0.6409 0.6535  0.00
Al 0.6363 0.3591 0.3465  0.00
Al 0.9828 0.3591 0.6535  0.00
Al 0.0172 0.6409 0.3465  0.00
Al 0.0000 0.5000 0.0000  0.00
Al 0.5000 0.0000 0.5000  0.00
Al 0.0000 0.0000 0.5000  0.00
Os 0.5000 0.5000 0.0000  0.00

---

No. 2
## ScAuSe2 (PBE)

Data for a relaxed ScAuSe2 crystal.

Summary:
formation energy (no corrections): -0.8921 eV per atom

Unit cell a=7.3381 b=7.3381 c=7.3381 alpha=151.29 beta=149.89 gamma=42.09
Atoms (fractional coordinates):
Au 0.5207 0.5207 0.0000
Sc 0.1899 0.6899 0.5000
Se 0.0278 0.0278 0.0000
Se 0.7616 0.2616 0.5000

---

No. 3
## Fe2CoOs (PBE)

Data for a relaxed Fe2CoOs crystal.

Summary:
DFT formation energy: 61.9 kJ/mol of atoms

Unit cell a=3.4861 b=3.4861 c=8.6709 alpha=78.40 beta=78.40 gamma=90.00
Last column: magnetic moment on the atom in μB.
Atoms (fractional coordinates):
Co 0.5000 0.5000 0.0000  -0.78
Co 0.2500 0.7500 0.5000  -0.78
Os 0.0000 0.0000 0.0000  -0.51
Os 0.7500 0.2500 0.5000  -0.51
Fe 0.6013 0.1250 0.2500  1.36
Fe 0.1487 0.6250 0.2500  1.36
Fe 0.3750 0.3987 0.7500  1.36
Fe 0.8750 0.8513 0.7500  1.36

---

No. 4
## Sc2FeAs (PBE)

Data for a relaxed Sc2FeAs crystal.

Summary:
DFT formation energy: -48.2 kJ/mol of atoms

Unit cell a=5.3890 b=5.3890 c=5.3890 alpha=45.08 beta=45.08 gamma=45.08
Atoms (fractional coordinates):
As 0.4485 0.4485 0.4485
Fe 0.8015 0.8015 0.8015
Sc 0.0264 0.0264 0.0264
Sc 0.2236 0.2236 0.2236

---

No. 5
## Ce12ThRu6 (PBE)

Data for a relaxed Ce12ThRu6 crystal.

Summary:
DFT formation energy: -12.6 kJ/mol of atoms

Unit cell a=8.0482 b=8.0482 c=8.0482 alpha=104.28 beta=104.28 gamma=104.28
Atoms (fractional coordinates):
Ce 0.8894 0.1106 0.5000
Ce 0.8252 0.5744 0.5744
Ce 0.5744 0.5744 0.8252
Ce 0.4256 0.1748 0.4256
Ce 0.4256 0.4256 0.1748
Ce 0.1748 0.4256 0.4256
Ce 0.1106 0.5000 0.8894
Ce 0.5000 0.8894 0.1106
Ce 0.1106 0.8894 0.5000
Ce 0.8894 0.5000 0.1106
Ce 0.5000 0.1106 0.8894
Ce 0.5744 0.8252 0.5744
Th 0.0000 0.0000 0.0000
Ru 0.7537 0.2796 0.2796
Ru 0.2796 0.2796 0.7537
Ru 0.2796 0.7537 0.2796
Ru 0.7204 0.7204 0.2463
Ru 0.2463 0.7204 0.7204
Ru 0.7204 0.2463 0.7204

---

No. 6
## K2NaI (PBE)

Data for a relaxed K2NaI crystal.

Summary:
formation energy (no corrections): -0.6436 eV per atom

Unit cell a=4.8727 b=4.8727 c=10.7631 alpha=76.92 beta=76.92 gamma=60.00
Atoms (fractional coordinates):
K 0.0701 0.0701 0.7897
K 0.2633 0.2633 0.2100
Na 0.5001 0.5001 0.4997
I 0.6664 0.6664 0.0007

---

No. 7
## LiZrAg2 (PBE)

Data for a relaxed LiZrAg2 crystal.

Summary:
DFT formation energy: 6.5 kJ/mol of atoms

Unit cell a=4.6008 b=4.6008 c=6.1012 alpha=83.91 beta=83.91 gamma=35.88
Atoms (fractional coordinates):
Ag 0.0036 0.0036 0.9653
Ag 0.4964 0.4964 0.5347
Li 0.7500 0.7500 0.7500
Zr 0.2500 0.2500 0.2500

---

No. 8
## LaTm4In2 (PBE)

Data for a relaxed LaTm4In2 crystal.

Summary:
DFT formation energy: -13.6 kJ/mol of atoms

Unit cell a=10.6797 b=6.7301 c=6.8504 alpha=119.42 beta=90.00 gamma=90.00
Atoms (fractional coordinates):
Tm 0.8312 0.5000 0.0000
Tm 0.7500 0.5001 0.5000
Tm 0.7500 0.0001 0.5000
Tm 0.6688 0.0000 0.0000
Tm 0.3312 0.0000 0.0000
Tm 0.2500 0.9999 0.5000
Tm 0.2500 0.4999 0.5000
Tm 0.1688 0.5000 0.0000
In 0.0000 0.7149 0.4298
In 0.0000 0.2851 0.5702
In 0.5000 0.7851 0.5702
In 0.5000 0.2149 0.4298
La 0.0000 0.0000 0.0000
La 0.5000 0.5000 0.0000

---

No. 9
## Pr4Sn2H (PBE)

Data for a relaxed Pr4Sn2H crystal.

Summary:
DFT total energy: -4.9612 eV per atom

Unit cell a=4.7413 b=4.7413 c=9.4584 alpha=75.48 beta=75.48 gamma=90.00
Atoms (fractional coordinates):
Pr 0.8208 0.8208 0.3584
Pr 0.1792 0.1792 0.6416
Pr 0.0000 0.5000 0.0000
Pr 0.5000 0.0000 0.0000
H 0.0000 0.0000 0.0000
Sn 0.6368 0.6368 0.7263
Sn 0.3632 0.3632 0.2737

---

No. 10
## In5Cu4 (PBE)

Data for a relaxed In5Cu4 crystal.

Summary:
DFT formation energy: 20.0 kJ/mol of atoms

Unit cell a=6.7216 b=6.7216 c=6.7216 alpha=95.88 beta=95.88 gamma=142.67
Atoms (fractional coordinates):
In 0.0000 0.0000 0.0000
In 0.6735 0.6735 0.3470
In 0.3265 0.3265 0.6530
In 0.3265 0.6735 0.0000
In 0.6735 0.3265 0.0000
Cu 0.6372 0.0000 0.6372
Cu 0.3628 0.0000 0.3628
Cu 0.0000 0.6372 0.6372
Cu 0.0000 0.3628 0.3628

---

No. 11
## MoAsOs2 (PBE)

Data for a relaxed MoAsOs2 crystal.

Summary:
DFT formation energy: 55.1 kJ/mol of atoms

Unit cell a=2.7687 b=2.7687 c=9.1478 alpha=90.00 beta=90.00 gamma=116.89
Atoms (fractional coordinates):
Mo 0.5000 0.5000 0.7500
Os 0.0000 0.0000 0.9916
Os 0.0000 0.0000 0.5084
As 0.5000 0.5000 0.2500

---

No. 12
## Sc4GaTe (PBE)

Data for a relaxed Sc4GaTe crystal.

Summary:
formation energy (no corrections): -0.6491 eV per atom

Unit cell a=3.9630 b=7.6642 c=17.6234 alpha=90.00 beta=90.00 gamma=90.00
Atoms (fractional coordinates):
Sc 0.7500 0.8677 0.6509
Sc 0.2500 0.1323 0.3491
Sc 0.2500 0.6323 0.1509
Sc 0.7500 0.3677 0.8491
Sc 0.7500 0.8560 0.4454
Sc 0.2500 0.1440 0.5546
Sc 0.2500 0.6440 0.9454
Sc 0.7500 0.3560 0.0546
Sc 0.7500 0.0049 0.9346
Sc 0.2500 0.9951 0.0654
Sc 0.2500 0.4951 0.4346
Sc 0.7500 0.5049 0.5654
Sc 0.7500 0.9503 0.2099
Sc 0.2500 0.0497 0.7901
Sc 0.2500 0.5497 0.7099
Sc 0.7500 0.4503 0.2901
Ga 0.7500 0.2380 0.4473
Ga 0.2500 0.7620 0.5527
Ga 0.2500 0.2620 0.9473
Ga 0.7500 0.7380 0.0527
Te 0.7500 0.7440 0.8110
Te 0.2500 0.2560 0.1890
Te 0.2500 0.7560 0.3110
Te 0.7500 0.2440 0.6890

---

No. 13
## HoZr2Cd (PBE)

Data for a relaxed HoZr2Cd crystal.

Summary:
DFT formation energy: -1.3 kJ/mol of atoms

Unit cell a=4.6296 b=4.5341 c=4.5341 alpha=90.00 beta=90.00 gamma=90.00
Atoms (fractional coordinates):
Ho 0.5000 0.0000 0.0000
Zr 0.0000 0.0000 0.5000
Zr 0.0000 0.5000 0.0000
Cd 0.5000 0.5000 0.5000

---

No. 14
## Hf6Zr2In3 (PBE)

Data for a relaxed Hf6Zr2In3 crystal.

Summary:
DFT formation energy: 32.2 kJ/mol of atoms

Unit cell a=4.6635 b=8.1828 c=8.1828 alpha=120.00 beta=90.00 gamma=90.00
Atoms (fractional coordinates):
Hf 0.5000 0.2292 0.0000
Hf 0.5000 0.7708 0.7708
Hf 0.0000 0.7815 0.0000
Hf 0.0000 0.0000 0.7815
Hf 0.5000 0.0000 0.2292
Hf 0.0000 0.2185 0.2185
Zr 0.0000 0.6667 0.3333
Zr 0.0000 0.3333 0.6667
In 0.5000 0.5713 0.0000
In 0.5000 0.0000 0.5713
In 0.5000 0.4287 0.4287

---

No. 15
## BeGe2Cl6 (PBE)

Data for a relaxed BeGe2Cl6 crystal.

Summary:
formation energy (no corrections): -0.9752 eV per atom

Unit cell a=11.9701 b=9.2506 c=9.2506 alpha=57.97 beta=47.63 gamma=47.63
Atoms (fractional coordinates):
Be 0.2500 0.8594 0.1406
Be 0.7500 0.1406 0.8594
Ge 0.5039 0.3117 0.3730
Ge 0.9961 0.6270 0.6883
Ge 0.4961 0.6883 0.6270
Ge 0.0039 0.3730 0.3117
Cl 0.7896 0.4241 0.3088
Cl 0.7104 0.6912 0.5759
Cl 0.2104 0.5759 0.6912
Cl 0.2896 0.3088 0.4241
Cl 0.9774 0.1398 0.6190
Cl 0.5226 0.3810 0.8602
Cl 0.0226 0.8602 0.3810
Cl 0.4774 0.6190 0.1398
Cl 0.7528 0.1060 0.0940
Cl 0.7472 0.9060 0.8940
Cl 0.2472 0.8940 0.9060
Cl 0.2528 0.0940 0.1060

---

No. 16
## YAlIN2 (PBE)

Data for a relaxed YAlIN2 crystal.

Summary:
formation energy (no corrections): 0.5515 eV per atom

Unit cell a=3.9974 b=5.9964 c=3.9974 alpha=90.00 beta=90.00 gamma=90.00
Last column: magnetic moment on the atom in μB.
Atoms (fractional coordinates):
I 0.5000 0.5000 0.5000  0.00
Y 0.0000 0.5000 0.0000  -0.06
Al 0.0000 0.0000 0.0000  -0.02
N 0.0000 0.0000 0.5000  0.34
N 0.5000 0.0000 0.0000  0.36

---

No. 17
## CeHfMn4 (PBE)

Data for a relaxed CeHfMn4 crystal.

Summary:
DFT formation energy: 1.9 kJ/mol of atoms

Unit cell a=5.0441 b=5.0441 c=5.0441 alpha=60.00 beta=60.00 gamma=60.00
Last column: magnetic moment on the atom in μB.
Atoms (fractional coordinates):
Mn 0.6254 0.6254 0.1237  1.59
Mn 0.6254 0.1237 0.6254  1.59
Mn 0.6254 0.6254 0.6254  1.59
Mn 0.1237 0.6254 0.6254  1.59
Hf 0.0000 0.0000 0.0000  -0.37
Ce 0.2500 0.2500 0.2500  -0.23

---

No. 18
## CrCdBr (PBE)

Data for a relaxed CrCdBr crystal.

Summary:
formation energy (no corrections): 0.1565 eV per atom

Unit cell a=6.6624 b=6.6980 c=3.3990 alpha=74.68 beta=75.84 gamma=29.48
Last column: magnetic moment on the atom in μB.
Atoms (fractional coordinates):
Br 0.0359 0.0359 0.9641  0.04
Cd 0.3023 0.3023 0.6977  -0.03
Cr 0.6618 0.6618 0.3382  3.90

---

No. 19
## YIn2Pt2 (PBE)

Data for a relaxed YIn2Pt2 crystal.

Summary:
DFT formation energy: -61.1 kJ/mol of atoms

Unit cell a=7.4043 b=7.4043 c=3.8755 alpha=90.00 beta=90.00 gamma=90.00
Atoms (fractional coordinates):
Y 0.0000 0.0000 0.0000
Y 0.5000 0.5000 0.0000
Pt 0.3663 0.8663 0.0000
Pt 0.8663 0.6337 0.0000
Pt 0.6337 0.1337 0.0000
Pt 0.1337 0.3663 0.0000
In 0.1645 0.6645 0.5000
In 0.6645 0.8355 0.5000
In 0.8355 0.3355 0.5000
In 0.3355 0.1645 0.5000

---

No. 20
## LiCaSN2 (PBE)

Data for a relaxed LiCaSN2 crystal.

Summary:
formation energy (no corrections): 0.9510 eV per atom

Unit cell a=4.6556 b=4.6556 c=5.4913 alpha=90.00 beta=90.00 gamma=90.00
Last column: magnetic moment on the atom in μB.
Atoms (fractional coordinates):
Ca 0.0000 0.0000 0.0000  0.04
Li 0.5000 0.5000 0.5000  0.00
S 0.0000 0.0000 0.5000  0.39
N 0.0000 0.5000 0.0000  1.42
N 0.5000 0.0000 0.0000  1.42

---

Number 1: total moment 0.4 μB/cell. Number 2: total moment 0.0 μB/cell. Number 3: total moment 2.9 μB/cell. Number 4: total moment 0.0 μB/cell. Number 5: total moment 0.0 μB/cell. Number 6: total moment 0.0 μB/cell. Number 7: total moment 0.0 μB/cell. Number 8: total moment 0.0 μB/cell. Number 9: total moment 0.0 μB/cell. Number 10: total moment 0.0 μB/cell. Number 11: total moment 0.0 μB/cell. Number 12: total moment 0.0 μB/cell. Number 13: total moment 0.0 μB/cell. Number 14: total moment 0.0 μB/cell. Number 15: total moment 0.0 μB/cell. Number 16: total moment 0.8 μB/cell. Number 17: total moment 5.7 μB/cell. Number 18: total moment 4.4 μB/cell. Number 19: total moment 0.0 μB/cell. Number 20: total moment 5.0 μB/cell.